Record 1
# YIn2Sn, optimized geometry, DFT PBE
# Space group   No. 122
# DFT formation energy   -0.2125 eV/atom
data_YIn2Sn
_cell_length_a 8.4899
_cell_length_b 8.4899
_cell_length_c 6.2350
_cell_angle_alpha 90.00
_cell_angle_beta 90.00
_cell_angle_gamma 90.00
_symmetry_space_group_name_H-M 'P 1'
_symmetry_Int_Tables_number 1
_symmetry_space_group_name_Hall 'P 1'
loop_
_atom_site_label
_atom_site_type_symbol
_atom_site_fract_x
_atom_site_fract_y
_atom_site_fract_z
Y1 Y 0.0000 0.0000 0.0000
Y2 Y 0.0000 0.5000 0.2500
Y3 Y 0.5000 0.0000 0.7500
Y4 Y 0.5000 0.5000 0.5000
In1 In 0.2253 0.2500 0.6250
In2 In 0.2500 0.7253 0.8750
In3 In 0.2500 0.7747 0.3750
In4 In 0.2747 0.2500 0.1250
In5 In 0.7253 0.7500 0.1250
In6 In 0.7500 0.2253 0.3750
In7 In 0.7500 0.2747 0.8750
In8 In 0.7747 0.7500 0.6250
Sn1 Sn 0.0000 0.0000 0.5000
Sn2 Sn 0.0000 0.5000 0.7500
Sn3 Sn 0.5000 0.0000 0.2500
Sn4 Sn 0.5000 0.5000 0.0000

---

Record 2
# HfZnPd6, optimized geometry, DFT PBE
# Polymorph energy (0 for the lowest one)   0 kJ/mol of formula units
# Space group   No. 123
# DFT formation energy   -0.6201 eV/atom
data_HfZnPd6
_cell_length_a 5.6226
_cell_length_b 5.6226
_cell_length_c 3.9482
_cell_angle_alpha 90.00
_cell_angle_beta 90.00
_cell_angle_gamma 90.00
_symmetry_space_group_name_H-M 'P 1'
_symmetry_Int_Tables_number 1
_symmetry_space_group_name_Hall 'P 1'
loop_
_atom_site_label
_atom_site_type_symbol
_atom_site_fract_x
_atom_site_fract_y
_atom_site_fract_z
Hf1 Hf 0.0000 0.0000 0.0000
Zn1 Zn 0.5000 0.5000 0.0000
Pd1 Pd 0.0000 0.5000 0.0000
Pd2 Pd 0.2517 0.2517 0.5000
Pd3 Pd 0.2517 0.7483 0.5000
Pd4 Pd 0.5000 0.0000 0.0000
Pd5 Pd 0.7483 0.2517 0.5000
Pd6 Pd 0.7483 0.7483 0.5000

---

Record 3
# ZnSe2IBr, optimized geometry, DFT PBE
# Polymorph energy (0 for the lowest one)   0 kJ/mol of formula units
# Formation energy from raw total energies   267 meV/atom
# Space group   No. 123
data_ZnSe2IBr
_cell_length_a 5.1274
_cell_length_b 5.1274
_cell_length_c 4.9628
_cell_angle_alpha 90.00
_cell_angle_beta 90.00
_cell_angle_gamma 90.00
_symmetry_space_group_name_H-M 'P 1'
_symmetry_Int_Tables_number 1
_symmetry_space_group_name_Hall 'P 1'
loop_
_atom_site_label
_atom_site_type_symbol
_atom_site_fract_x
_atom_site_fract_y
_atom_site_fract_z
Zn1 Zn 0.0000 0.0000 0.0000
Se1 Se 0.0000 0.5000 0.0000
Se2 Se 0.5000 0.0000 0.0000
I1 I 0.5000 0.5000 0.5000
Br1 Br 0.0000 0.0000 0.5000

---

| no. | magnetization (μB per cell) | density of states at the Fermi level (states/eV per atom) |
| --- | --- | --- |
| 1 | 0.00 | 0.592 |
| 2 | 0.00 | 0.864 |
| 3 | 0.00 | 0.798 |